[1]
# PBE Pm2Zn4CdPd3, relaxed
data_Pm2Zn4CdPd3
_chemical_formula_sum 'Pm2 Zn4 Cd1 Pd3'
_cell_length_a 4.010
_cell_length_b 4.010
_cell_length_c 12.236
_cell_angle_alpha 90.00
_cell_angle_beta 90.00
_cell_angle_gamma 90.00
_symmetry_space_group_name_H-M 'P -4 m 2'
_symmetry_Int_Tables_number 115
loop_
_symmetry_equiv_pos_as_xyz
'x,y,z'
'y,-x,-z'
'-x,-y,z'
'-y,x,-z'
'-x,y,z'
'-y,-x,-z'
'x,-y,z'
'y,x,-z'
loop_
_atom_site_label
_atom_site_type_symbol
_atom_site_fract_x
_atom_site_fract_y
_atom_site_fract_z
Pm1 Pm 0.000 0.500 0.233
Zn1 Zn 0.000 0.000 0.000
Zn2 Zn 0.000 0.500 0.647
Zn3 Zn 0.500 0.500 0.000
Cd1 Cd 0.000 0.000 0.500
Pd1 Pd 0.000 0.500 0.858
Pd2 Pd 0.500 0.500 0.500
# total magnetic moment	0.0000	μB/atom
# E_form	-529	meV/atom

[2]
# PBE Pm2Zn3CdPd4, relaxed
data_Pm2Zn3CdPd4
_chemical_formula_sum 'Pm2 Zn3 Cd1 Pd4'
_cell_length_a 4.142
_cell_length_b 4.142
_cell_length_c 11.473
_cell_angle_alpha 90.00
_cell_angle_beta 90.00
_cell_angle_gamma 90.00
_symmetry_space_group_name_H-M 'P -4 m 2'
_symmetry_Int_Tables_number 115
loop_
_symmetry_equiv_pos_as_xyz
'x,y,z'
'y,-x,-z'
'-x,-y,z'
'-y,x,-z'
'-x,y,z'
'-y,-x,-z'
'x,-y,z'
'y,x,-z'
loop_
_atom_site_label
_atom_site_type_symbol
_atom_site_fract_x
_atom_site_fract_y
_atom_site_fract_z
Pm1 Pm 0.000 0.500 0.240
Zn1 Zn 0.000 0.500 0.872
Zn2 Zn 0.500 0.500 0.500
Cd1 Cd 0.000 0.000 0.500
Pd1 Pd 0.000 0.000 0.000
Pd2 Pd 0.000 0.500 0.655
Pd3 Pd 0.500 0.500 0.000
# total magnetic moment	0.0000	μB/atom
# E_form	-585	meV/atom

[3]
# PBE PmZnCdPd, relaxed
data_PmZnCdPd
_chemical_formula_sum 'Pm4 Zn4 Cd4 Pd4'
_cell_length_a 6.924
_cell_length_b 6.924
_cell_length_c 6.924
_cell_angle_alpha 90.00
_cell_angle_beta 90.00
_cell_angle_gamma 90.00
_symmetry_space_group_name_H-M 'F -4 3 m'
_symmetry_Int_Tables_number 216
_symmetry_space_group_name_Hall 'F -4 2 3'
loop_
_atom_site_label
_atom_site_type_symbol
_atom_site_fract_x
_atom_site_fract_y
_atom_site_fract_z
Pm1 Pm 0.000 0.000 0.000
Zn1 Zn 0.250 0.250 0.750
Cd1 Cd 0.000 0.000 0.500
Pd1 Pd 0.250 0.250 0.250
# total magnetic moment	0.0000	μB/atom
# E_form	-465	meV/atom

[4]
# PBE PmZrCdPd, relaxed
data_PmZrCdPd
_chemical_formula_sum 'Pm4 Zr4 Cd4 Pd4'
_cell_length_a 7.158
_cell_length_b 7.158
_cell_length_c 7.158
_cell_angle_alpha 90.00
_cell_angle_beta 90.00
_cell_angle_gamma 90.00
_symmetry_space_group_name_H-M 'F -4 3 m'
_symmetry_Int_Tables_number 216
_symmetry_space_group_name_Hall 'F -4 2 3'
loop_
_atom_site_label
_atom_site_type_symbol
_atom_site_fract_x
_atom_site_fract_y
_atom_site_fract_z
Pm1 Pm 0.000 0.000 0.000
Zr1 Zr 0.000 0.000 0.500
Cd1 Cd 0.250 0.250 0.750
Pd1 Pd 0.250 0.250 0.250
# total magnetic moment	0.2019	μB/atom
# E_form	-273	meV/atom